{
  "formula": "Tl2SiAu",
  "functional": "GGA-PBE",
  "state": "optimized geometry",
  "lattice_angstrom": [[5.343, -0.094, 0.000], [1.252, 5.195, 0.000], [-3.298, -2.550, 3.343]],
  "species": ["Tl", "Tl", "Si", "Au"],
  "fractional_positions": [[0.500, 0.500, 0.000], [0.000, 0.000, 0.000], [0.750, 0.250, 0.500], [0.250, 0.750, 0.500]],
  "volume_a3_per_atom": 23.30,
  "formation_energy_uncorrected_kj_per_mol_fu": 143,
  "sg": "I4/mmm",
  "e_above_lowest_polymorph_ev_per_atom": 0.342
}

{
  "formula": "B2IrW",
  "functional": "GGA-PBE",
  "state": "optimized geometry",
  "lattice_angstrom": [[-1.443, -3.643, -0.120], [-3.128, -0.797, -2.225], [0.402, -2.162, -3.246]],
  "species": ["W", "B", "B", "Ir"],
  "fractional_positions": [[0.000, 0.000, 0.000], [0.250, 0.250, 0.250], [0.750, 0.750, 0.750], [0.500, 0.500, 0.500]],
  "volume_a3_per_atom": 10.65,
  "sg": "Fm-3m",
  "e_above_lowest_polymorph_ev_per_atom": 0.353
}

{
  "formula": "UTlSe2F",
  "functional": "GGA-PBE",
  "state": "optimized geometry",
  "lattice_angstrom": [[4.154, 0.000, 0.000], [0.000, 8.223, 0.433], [0.000, -3.003, 8.623]],
  "species": ["U", "U", "Se", "Se", "Se", "Se", "F", "F", "Tl", "Tl"],
  "fractional_positions": [[0.750, 0.183, 0.174], [0.250, 0.817, 0.826], [0.750, 0.844, 0.624], [0.250, 0.180, 0.955], [0.750, 0.820, 0.045], [0.250, 0.156, 0.376], [0.250, 0.553, 0.757], [0.750, 0.447, 0.243], [0.250, 0.750, 0.320], [0.750, 0.250, 0.680]],
  "volume_a3_per_atom": 29.99,
  "formation_energy_uncorrected_kj_per_mol_fu": -749,
  "sg": "P2_1/m"
}

{
  "formula": "LaTiAs2Br",
  "functional": "GGA-PBE",
  "state": "optimized geometry",
  "lattice_angstrom": [[-2.245, -4.008, 1.842], [2.796, -2.891, -2.885], [3.469, -0.272, 3.636]],
  "species": ["La", "As", "As", "Br", "Ti"],
  "fractional_positions": [[0.500, 0.500, 0.500], [0.500, 0.000, 0.000], [0.000, 0.500, 0.000], [0.000, 0.000, 0.500], [0.000, 0.000, 0.000]],
  "volume_a3_per_atom": 24.66,
  "formation_energy_uncorrected_kj_per_mol_fu": -397,
  "sg": "P4/mmm",
  "e_above_lowest_polymorph_ev_per_atom": 0.000
}

{
  "formula": "TbYCuAu",
  "functional": "GGA-PBE",
  "state": "optimized geometry",
  "lattice_angstrom": [[5.033, 0.000, 0.000], [2.516, 4.359, 0.000], [2.516, 1.453, 4.109]],
  "species": ["Cu", "Tb", "Y", "Au"],
  "fractional_positions": [[0.000, 0.000, 0.000], [0.250, 0.250, 0.250], [0.750, 0.750, 0.750], [0.500, 0.500, 0.500]],
  "volume_a3_per_atom": 22.53,
  "sg": "F-43m",
  "e_above_lowest_polymorph_ev_per_atom": 0.020
}

{
  "formula": "Ac2Mg3InGe4",
  "functional": "GGA-PBE",
  "state": "optimized geometry",
  "lattice_angstrom": [[4.825, 0.000, 0.000], [0.000, 4.825, 0.000], [0.000, 0.000, 10.647]],
  "species": ["Ge", "Ge", "Ge", "Ge", "Ac", "Ac", "Mg", "Mg", "Mg", "In"],
  "fractional_positions": [[0.500, 0.000, 0.639], [0.000, 0.500, 0.361], [0.500, 0.500, 0.000], [0.000, 0.000, 0.000], [0.000, 0.500, 0.771], [0.500, 0.000, 0.229], [0.000, 0.500, 0.113], [0.500, 0.000, 0.887], [0.000, 0.000, 0.500], [0.500, 0.500, 0.500]],
  "volume_a3_per_atom": 24.79,
  "sg": "P-4m2",
  "energy_ev_per_atom": -3.82
}

{
  "formula": "Cs2BaGe2O6",
  "functional": "GGA-PBE",
  "state": "optimized geometry",
  "lattice_angstrom": [[6.515, 0.000, 0.000], [-3.258, 5.627, -0.188], [0.000, -3.457, 7.118]],
  "species": ["O", "O", "O", "O", "O", "O", "Cs", "Cs", "Ba", "Ge", "Ge"],
  "fractional_positions": [[0.778, 0.011, 0.249], [0.236, 0.472, 0.256], [0.233, 0.011, 0.249], [0.222, 0.989, 0.751], [0.767, 0.989, 0.751], [0.764, 0.528, 0.744], [0.296, 0.593, 0.887], [0.704, 0.407, 0.113], [0.500, 0.000, 0.500], [0.917, 0.834, 0.747], [0.083, 0.166, 0.253]],
  "volume_a3_per_atom": 23.34,
  "formation_energy_uncorrected_kj_per_mol_fu": -1941,
  "sg": "C2/m"
}

{
  "formula": "ErScAgSn",
  "functional": "GGA-PBE",
  "state": "optimized geometry",
  "lattice_angstrom": [[5.066, 0.000, 0.000], [2.533, 4.387, 0.000], [2.533, 1.462, 4.136]],
  "species": ["Sn", "Sc", "Ag", "Er"],
  "fractional_positions": [[0.250, 0.250, 0.250], [0.500, 0.500, 0.500], [0.750, 0.750, 0.750], [0.000, 0.000, 0.000]],
  "volume_a3_per_atom": 22.98,
  "sg": "F-43m",
  "energy_ev_per_atom": -4.91
}

{
  "formula": "InAgBC2",
  "functional": "GGA-PBE",
  "state": "optimized geometry",
  "lattice_angstrom": [[4.372, 0.000, 0.000], [0.000, 5.452, 0.000], [0.000, 0.000, 4.372]],
  "species": ["Ag", "In", "C", "C", "B"],
  "fractional_positions": [[0.000, 0.500, 0.000], [0.000, 0.000, 0.000], [0.500, 0.000, 0.000], [0.000, 0.000, 0.500], [0.500, 0.500, 0.500]],
  "volume_a3_per_atom": 20.85,
  "sg": "P4/mmm",
  "energy_ev_per_atom": -3.01
}

{
  "formula": "CeCdAgRh",
  "functional": "GGA-PBE",
  "state": "optimized geometry",
  "lattice_angstrom": [[-2.024, -4.249, -1.355], [2.719, -4.071, -0.147], [-0.709, -3.540, 3.310]],
  "species": ["Cd", "Ce", "Ag", "Rh"],
  "fractional_positions": [[0.500, 0.500, 0.500], [0.000, 0.000, 0.000], [0.750, 0.750, 0.750], [0.250, 0.250, 0.250]],
  "volume_a3_per_atom": 20.77,
  "sg": "F-43m",
  "energy_ev_per_atom": -4.54
}

{
  "formula": "Tb4Se5I",
  "functional": "GGA-PBE",
  "state": "optimized geometry",
  "lattice_angstrom": [[-4.825, -1.693, 4.876], [-3.011, -6.154, -5.116], [6.853, -6.977, 4.359]],
  "species": ["Se", "Se", "Se", "Se", "Se", "Se", "Se", "Se", "Se", "Se", "Tb", "Tb", "Tb", "Tb", "Tb", "Tb", "Tb", "Tb", "I", "I"],
  "fractional_positions": [[0.252, 0.241, 0.807], [0.252, 0.759, 0.807], [0.748, 0.741, 0.693], [0.748, 0.741, 0.307], [0.193, 0.000, 0.500], [0.252, 0.759, 0.193], [0.748, 0.259, 0.307], [0.807, 0.500, 0.000], [0.252, 0.241, 0.193], [0.748, 0.259, 0.693], [0.997, 0.000, 0.272], [0.505, 0.718, 0.000], [0.505, 0.282, 0.000], [0.003, 0.500, 0.228], [0.495, 0.782, 0.500], [0.495, 0.218, 0.500], [0.997, 0.000, 0.728], [0.003, 0.500, 0.772], [0.798, 0.000, 0.000], [0.202, 0.500, 0.500]],
  "volume_a3_per_atom": 32.34,
  "formation_energy_uncorrected_kj_per_mol_fu": -1498,
  "sg": "Pmmn"
}

{
  "formula": "SiAsOs2",
  "functional": "GGA-PBE",
  "state": "optimized geometry",
  "lattice_angstrom": [[2.841, -0.002, 0.000], [-1.387, 2.479, 0.000], [0.000, 0.000, 8.525]],
  "species": ["Os", "Os", "Si", "As"],
  "fractional_positions": [[0.000, 0.000, 0.473], [0.000, 0.000, 0.027], [0.500, 0.500, 0.250], [0.500, 0.500, 0.750]],
  "volume_a3_per_atom": 15.01,
  "formation_energy_uncorrected_kj_per_mol_fu": 155,
  "sg": "Cmmm",
  "e_above_lowest_polymorph_ev_per_atom": 0.363
}